A plane-wave DFT calculation with GGA-PBE was carried out for an optimized crystal structure of Tb2PmNd3Er6.

## Properties
- Formation energy: 0.20 eV per formula unit
- DOS at the Fermi energy: 14.06 states/eV/f.u.
- SG: C2/m
- Total magnetization: 0.01 μB per cell
- E_tot: -4.624 eV/atom

Cell lengths 6.196, 6.196, 11.751 Å; angles 95.02, 95.02, 119.98 degrees
Positions (direct):
Tb  0.333  0.667  0.000
Tb  0.667  0.333  0.000
Pm  0.000  0.000  0.000
Nd  0.167  0.833  0.500
Nd  0.833  0.167  0.500
Nd  0.500  0.500  0.500
Er  0.917  0.584  0.752
Er  0.749  0.749  0.248
Er  0.083  0.416  0.248
Er  0.584  0.917  0.752
Er  0.251  0.251  0.752
Er  0.416  0.083  0.248


A plane-wave DFT calculation with GGA-PBE was carried out for an optimized crystal structure of K2PaCdS4.

## Properties
- DOS at the Fermi energy: 5.61 states/eV/f.u.
- SG: P2/m
- Formation energy from raw total energies: -28.975 kcal/mol of atoms
- Total magnetization: 1.00 μB per cell
- E_tot: -4.896 eV/atom

Cell lengths 4.056, 7.017, 7.809 Å; angles 108.82, 90.00, 90.00 degrees
Positions (direct):
K  0.500  0.000  0.500
K  0.000  0.500  0.500
Pa  0.500  0.500  0.000
Cd  0.000  0.000  0.000
S  0.500  0.236  0.195
S  0.500  0.764  0.805
S  0.000  0.279  0.789
S  0.000  0.721  0.211


A plane-wave DFT calculation with GGA-PBE was carried out for an optimized crystal structure of Cs2PBr6F.

## Properties
- DOS at the Fermi energy: 0.00 states/eV/f.u.
- SG: I4/mmm
- Formation energy from raw total energies: -21.978 kcal/mol of atoms
- Total magnetization: 0.00 μB per cell
- E_tot: -2.856 eV/atom

Cell lengths 7.402, 7.402, 7.704 Å; angles 61.29, 61.29, 90.00 degrees
Positions (direct):
Cs  0.750  0.250  0.500
Cs  0.250  0.750  0.500
P  0.000  0.000  0.000
Br  0.217  0.217  0.567
Br  0.783  0.783  0.433
Br  0.231  0.231  0.000
Br  0.769  0.769  0.000
Br  0.769  0.231  0.000
Br  0.231  0.769  0.000
F  0.500  0.500  0.000


A plane-wave DFT calculation with GGA-PBE was carried out for an optimized crystal structure of KLiZr2.

## Properties
- Formation energy: 2.28 eV per formula unit
- DOS at the Fermi energy: 4.90 states/eV/f.u.
- SG: C2/m
- Total magnetization: 0.00 μB per cell
- E_tot: -4.456 eV/atom

Cell lengths 6.939, 6.939, 5.358 Å; angles 71.42, 71.42, 25.65 degrees
Positions (direct):
K  0.750  0.750  0.750
Li  0.250  0.250  0.250
Zr  0.983  0.983  0.027
Zr  0.517  0.517  0.473


A plane-wave DFT calculation with GGA-PBE was carried out for an optimized crystal structure of Ho5Te5P.

## Properties
- DOS at the Fermi energy: 4.10 states/eV/f.u.
- SG: C2/m
- Formation energy from raw total energies: -32.720 kcal/mol of atoms
- Total magnetization: 0.00 μB per cell
- E_tot: -5.420 eV/atom

Cell lengths 6.055, 7.385, 8.506 Å; angles 107.20, 90.00, 114.20 degrees
Positions (direct):
Ho  0.845  0.689  0.154
Ho  0.847  0.694  0.689
Ho  0.500  0.000  0.000
Ho  0.153  0.306  0.311
Ho  0.155  0.311  0.846
Te  0.672  0.344  0.337
Te  0.662  0.324  0.821
Te  0.000  0.000  0.500
Te  0.338  0.676  0.179
Te  0.328  0.656  0.663
P  0.000  0.000  0.000


A plane-wave DFT calculation with GGA-PBE was carried out for an optimized crystal structure of AcGe2Pd5.

## Properties
- Formation energy: -5.46 eV per formula unit
- DOS at the Fermi energy: 4.30 states/eV/f.u.
- SG: Immm
- Total magnetization: 0.00 μB per cell
- E_tot: -5.596 eV/atom

Cell lengths 4.068, 6.535, 6.535 Å; angles 67.27, 71.86, 71.86 degrees
Positions (direct):
Ac  0.000  0.000  0.000
Ge  0.757  0.743  0.743
Ge  0.243  0.257  0.257
Pd  0.000  0.500  0.500
Pd  0.649  0.545  0.158
Pd  0.351  0.455  0.842
Pd  0.351  0.842  0.455
Pd  0.649  0.158  0.545